Computed, not measured: a relaxed structure of K2FeIF at the GGA+U level of DFT.

```
K2FeIF
1.0
6.467 0.000 0.000
0.000 6.467 0.000
0.000 0.000 5.335
K Fe I F
2 1 1 1
Direct
0.000 0.500 0.000
0.500 0.000 0.000
0.000 0.000 0.000
0.000 0.000 0.500
0.500 0.500 0.500
```

Results
Energy: -13.78 eV per formula unit
N(E_F): 0.98 states/eV/cell
Crystal system: tetragonal